{"formula": "PmErInAg", "functional": "GGA-PBE", "state": "relaxed", "lattice": [[-2.250, -0.815, -2.752], [2.565, -2.141, -1.463], [-2.761, -6.080, 4.059]], "species": ["Pm", "In", "Ag", "Er"], "fractional_positions": [[0.000, 0.000, 0.848], [0.500, 0.500, 0.119], [0.500, 0.500, 0.585], [0.000, 0.000, 0.375]], "density_g_cm3": 8.5, "n_ef_per_ev_cell": 2.96, "polymorph_energy_mev_per_atom": 0, "ef_ev_per_atom": -0.398, "total_energy_ev_per_atom": -4.124, "vol_a3_per_cell": 103.9}